No. 1
12
Lattice="5.106 0.000 0.000 0.001 5.969 0.000 2.544 1.897 6.347" Properties=species:S:1:pos:R:3 comment="BiBPd4, optimized geometry, DFT PBE-GGA" de_polymorph_ev_per_atom=0.000 pbc="T T T"
Bi 0.640 1.492 0.008
Bi 7.011 6.374 6.339
B 1.273 3.933 3.173
B 3.825 0.948 3.173
Pd 2.059 2.023 3.757
Pd 3.036 5.007 3.763
Pd 2.038 3.683 1.251
Pd 4.585 7.177 5.094
Pd 3.066 0.689 1.253
Pd 5.613 4.184 5.096
Pd 4.615 2.860 2.584
Pd 5.592 5.843 2.590


No. 2
The following is a PBE-GGA calculation of a geometry-optimized Bi3B2Pd9 structure, from Alexandria.

Structure (extended XYZ):
```
28
Lattice="6.100 0.000 0.000 -3.050 5.282 0.000 0.000 0.000 14.561" Properties=species:S:1:pos:R:3 pbc="T T T"
Bi 0.000 0.000 3.640
Bi 0.000 0.000 10.921
Bi 0.000 3.522 1.224
Bi 0.000 3.522 6.057
Bi 3.050 1.761 8.505
Bi 3.050 1.761 13.338
B 0.000 3.522 9.595
B 0.000 3.522 12.247
B 3.050 1.761 2.314
B 3.050 1.761 4.967
Pd -1.504 2.653 10.921
Pd 0.000 1.741 8.474
Pd 0.000 1.741 13.368
Pd -1.542 4.412 8.474
Pd -1.542 4.412 13.368
Pd 1.508 0.870 1.193
Pd 1.508 0.870 6.088
Pd 1.504 2.653 10.921
Pd 0.000 5.258 10.921
Pd 3.050 0.024 3.640
Pd 1.546 2.629 3.640
Pd 1.542 4.412 8.474
Pd 1.542 4.412 13.368
Pd 4.592 0.870 1.193
Pd 4.592 0.870 6.088
Pd 3.050 3.542 1.193
Pd 3.050 3.542 6.088
Pd 4.554 2.629 3.640
```


Summary of energy relative to the elements in meV/atom
-258, -240
(order as listed above)